(1)
A plane-wave DFT calculation with PBE was carried out for La2CoMo2 after structural relaxation.

Results
* space group: P4/mbm
* total energy: -7.278 eV per atom
* crystal system: tetragonal
* energy above the most stable polymorph in this dataset: 0 meV/atom

a = 6.594 Å, b = 6.594 Å, c = 4.982 Å
α = 90.00°, β = 90.00°, γ = 90.00°
Fractional coordinates of all 10 atoms:
Mo (0.367, 0.867, 0.000)
Mo (0.867, 0.633, 0.000)
Mo (0.633, 0.133, 0.000)
Mo (0.133, 0.367, 0.000)
Co (0.000, 0.000, 0.000)
Co (0.500, 0.500, 0.000)
La (0.182, 0.682, 0.500)
La (0.682, 0.818, 0.500)
La (0.818, 0.318, 0.500)
La (0.318, 0.182, 0.500)

(2)
A plane-wave DFT calculation with PBE was carried out for Hf12Be5Ga3 after structural relaxation.

Results
* space group: Ia-3d
* total energy: -6.849 eV per atom
* crystal system: cubic

a = 12.950 Å, b = 12.950 Å, c = 12.950 Å
α = 109.47°, β = 109.47°, γ = 109.47°
Fractional coordinates of all 80 atoms:
Ga (0.750, 0.375, 0.125)
Ga (0.875, 0.750, 0.125)
Ga (0.375, 0.750, 0.625)
Ga (0.250, 0.125, 0.375)
Ga (0.875, 0.125, 0.250)
Ga (0.375, 0.625, 0.250)
Ga (0.625, 0.375, 0.750)
Ga (0.125, 0.875, 0.750)
Ga (0.750, 0.875, 0.625)
Ga (0.625, 0.250, 0.375)
Ga (0.125, 0.250, 0.875)
Ga (0.250, 0.625, 0.875)
Be (0.125, 0.375, 0.250)
Be (0.000, 0.500, 0.000)
Be (0.000, 0.000, 0.000)
Be (0.375, 0.250, 0.125)
Be (0.500, 0.000, 0.500)
Be (0.500, 0.500, 0.000)
Be (0.125, 0.750, 0.375)
Be (0.750, 0.125, 0.875)
Be (0.750, 0.625, 0.375)
Be (0.375, 0.125, 0.750)
Be (0.625, 0.875, 0.250)
Be (0.500, 0.500, 0.500)
Be (0.500, 0.000, 0.000)
Be (0.000, 0.000, 0.500)
Be (0.250, 0.375, 0.625)
Be (0.250, 0.875, 0.125)
Be (0.000, 0.500, 0.500)
Be (0.875, 0.250, 0.625)
Be (0.625, 0.750, 0.875)
Be (0.875, 0.625, 0.750)
Hf (0.710, 0.121, 0.040)
Hf (0.329, 0.540, 0.419)
Hf (0.960, 0.379, 0.290)
Hf (0.540, 0.210, 0.121)
Hf (0.589, 0.710, 0.671)
Hf (0.960, 0.581, 0.171)
Hf (0.329, 0.790, 0.411)
Hf (0.081, 0.911, 0.121)
Hf (0.581, 0.960, 0.671)
Hf (0.710, 0.589, 0.171)
Hf (0.790, 0.460, 0.379)
Hf (0.829, 0.919, 0.040)
Hf (0.121, 0.710, 0.540)
Hf (0.379, 0.419, 0.089)
Hf (0.089, 0.919, 0.379)
Hf (0.411, 0.121, 0.581)
Hf (0.089, 0.171, 0.210)
Hf (0.460, 0.671, 0.081)
Hf (0.829, 0.911, 0.290)
Hf (0.121, 0.411, 0.081)
Hf (0.379, 0.960, 0.790)
Hf (0.581, 0.621, 0.411)
Hf (0.919, 0.829, 0.540)
Hf (0.790, 0.329, 0.911)
Hf (0.419, 0.379, 0.589)
Hf (0.081, 0.171, 0.460)
Hf (0.210, 0.671, 0.089)
Hf (0.171, 0.089, 0.710)
Hf (0.621, 0.040, 0.210)
Hf (0.879, 0.589, 0.919)
Hf (0.540, 0.329, 0.919)
Hf (0.589, 0.879, 0.419)
Hf (0.911, 0.829, 0.790)
Hf (0.911, 0.081, 0.621)
Hf (0.879, 0.290, 0.460)
Hf (0.171, 0.081, 0.960)
Hf (0.621, 0.581, 0.911)
Hf (0.419, 0.040, 0.329)
Hf (0.290, 0.411, 0.829)
Hf (0.210, 0.540, 0.621)
Hf (0.919, 0.089, 0.879)
Hf (0.671, 0.210, 0.589)
Hf (0.460, 0.790, 0.879)
Hf (0.040, 0.419, 0.829)
Hf (0.411, 0.290, 0.329)
Hf (0.040, 0.621, 0.710)
Hf (0.671, 0.460, 0.581)
Hf (0.290, 0.879, 0.960)

(3)
A plane-wave DFT calculation with PBE was carried out for SmHo2TlC after structural relaxation.

Results
* space group: P4/mmm
* total energy: -5.516 eV per atom
* crystal system: tetragonal

a = 5.055 Å, b = 4.903 Å, c = 4.903 Å
α = 90.00°, β = 90.00°, γ = 90.00°
Fractional coordinates of all 5 atoms:
Sm (0.500, 0.000, 0.000)
Ho (0.000, 0.000, 0.500)
Ho (0.000, 0.500, 0.000)
Tl (0.500, 0.500, 0.500)
C (0.000, 0.000, 0.000)

Number 1: theoretical density 8.104 g cm⁻³, magnetization 1.40 Bohr magnetons per cell. Number 2: theoretical density 9.520 g cm⁻³, magnetization 0.00 Bohr magnetons per cell. Number 3: theoretical density 9.517 g cm⁻³, magnetization 0.00 Bohr magnetons per cell.